RbMoAu | PBE | relaxed

Results
Crystal system   cubic
Total magnetic moment   5.03 μB/f.u.
Raw total energy   -0.133 hartree per atom
Space group   F-43m (216)
Excess energy over the best structure of this formula in the dataset   0.0 meV/atom

abc: 7.3563 7.3563 7.3563
angles: 90.00 90.00 90.00
Atoms (fractional coordinates):
Rb1 0.0000 0.0000 0.0000
Rb2 0.0000 0.5000 0.5000
Rb3 0.5000 0.0000 0.5000
Rb4 0.5000 0.5000 0.0000
Mo1 0.0000 0.0000 0.5000
Mo2 0.0000 0.5000 0.0000
Mo3 0.5000 0.0000 0.0000
Mo4 0.5000 0.5000 0.5000
Au1 0.2500 0.2500 0.7500
Au2 0.2500 0.7500 0.2500
Au3 0.7500 0.2500 0.2500
Au4 0.7500 0.7500 0.7500

---

Rb2Mo3Au2 | PBE | relaxed

Results
Crystal system   trigonal
Total magnetic moment   0.05 μB/f.u.
Raw total energy   -0.193 hartree per atom
Space group   R3m (160)

abc: 10.2570 10.2570 10.2570
angles: 25.25 25.25 25.25
Atoms (fractional coordinates):
Rb1 0.0000 0.0000 0.0000
Rb2 0.4060 0.4060 0.4060
Mo1 0.2278 0.2278 0.2278
Mo2 0.5224 0.5224 0.5224
Mo3 0.8550 0.8550 0.8550
Au1 0.1373 0.1373 0.1373
Au2 0.6099 0.6099 0.6099

---

RbMoAu3S4 | PBE | relaxed

Results
Crystal system   cubic
Total magnetic moment   1.75 μB/f.u.
Raw total energy   -0.164 hartree per atom
Space group   P-43m (215)

abc: 6.2613 6.2613 6.2613
angles: 90.00 90.00 90.00
Atoms (fractional coordinates):
Rb1 0.0000 0.0000 0.0000
Mo1 0.5000 0.5000 0.5000
Au1 0.0000 0.5000 0.5000
Au2 0.5000 0.0000 0.5000
Au3 0.5000 0.5000 0.0000
S1 0.2867 0.2867 0.2867
S2 0.2867 0.7133 0.7133
S3 0.7133 0.2867 0.7133
S4 0.7133 0.7133 0.2867

---

RbMoAuS3 | PBE | relaxed

Results
Crystal system   orthorhombic
Total magnetic moment   2.00 μB/f.u.
Raw total energy   -0.183 hartree per atom
Space group   Cmcm (63)

abc: 7.8352 7.8352 9.8169
angles: 90.00 90.00 152.05
Atoms (fractional coordinates):
Rb1 0.2494 0.7506 0.7500
Rb2 0.7506 0.2494 0.2500
Mo1 0.5000 0.5000 0.0000
Mo2 0.5000 0.5000 0.5000
Au1 0.0545 0.9455 0.2500
Au2 0.9455 0.0545 0.7500
S1 0.1093 0.8907 0.0239
S2 0.1093 0.8907 0.4761
S3 0.4370 0.5630 0.2500
S4 0.5630 0.4370 0.7500
S5 0.8907 0.1093 0.5239
S6 0.8907 0.1093 0.9761